BaTaMo2O8: relaxed, GGA+U.

Cell and atoms, written as POSCAR:
```
BaTaMo2O8
1.0
4.114 -3.206 0.000
4.114 3.206 0.000
-1.530 0.000 7.168
Ba Ta Mo O
1 1 2 8
direct
0.000 0.000 0.000 Ba
0.000 0.000 0.500 Ta
0.440 0.440 0.767 Mo
0.560 0.560 0.233 Mo
0.218 0.774 0.697 O
0.226 0.782 0.303 O
0.242 0.242 0.568 O
0.346 0.346 0.987 O
0.654 0.654 0.013 O
0.758 0.758 0.432 O
0.774 0.218 0.697 O
0.782 0.226 0.303 O
```

Output
Total magnetization   3.00 μB/cell
DFT total energy   -7.76 eV/atom
Crystal system   monoclinic
SG   No. 12